Arrangement 1

This record from the Alexandria database describes SiAs2AuBr after structural relaxation. The functional is PBE.

total magnetization	1.0	Bohr magnetons per cell
V	134	Å³ per cell

Cell lengths 5.0593, 5.0593, 5.2174 Å; angles 90.00, 90.00, 90.00 degrees
Positions (direct):
Si: 0.5000 0.5000 0.5000
As: 0.0000 0.5000 0.0000
As: 0.5000 0.0000 0.0000
Br: 0.0000 0.0000 0.5000
Au: 0.0000 0.0000 0.0000



Arrangement 2

This record from the Alexandria database describes SiAs2AuBr after structural relaxation. The functional is PBE.

total magnetization	0.0	Bohr magnetons per cell
V	116	Å³ per cell

Cell lengths 4.8774, 4.8657, 4.8774 Å; angles 90.00, 90.00, 90.00 degrees
Positions (direct):
Br: 0.0000 0.5000 0.0000
Si: 0.0000 0.0000 0.0000
As: 0.5000 0.0000 0.0000
As: 0.0000 0.0000 0.5000
Au: 0.5000 0.5000 0.5000



Computed relative energies in units of meV per atom: arrangement 1 283; arrangement 2 0



Arrangement 1

This record from the Alexandria database describes SrAsAuBr2 after structural relaxation. The functional is PBE.

total magnetization	1.2	Bohr magnetons per cell
V	152	Å³ per cell

Cell lengths 5.4320, 5.4320, 5.1411 Å; angles 90.00, 90.00, 90.00 degrees
Positions (direct):
Br: 0.5000 0.0000 0.0000
Br: 0.0000 0.5000 0.0000
As: 0.0000 0.0000 0.5000
Au: 0.0000 0.0000 0.0000
Sr: 0.5000 0.5000 0.5000



Arrangement 2

This record from the Alexandria database describes SrAsAuBr2 after structural relaxation. The functional is PBE.

total magnetization	2.0	Bohr magnetons per cell
V	234	Å³ per cell

Cell lengths 5.7246, 5.7246, 7.1468 Å; angles 90.00, 90.00, 90.00 degrees
Positions (direct):
Au: 0.5000 0.5000 0.5000
Br: 0.0000 0.5000 0.0000
Br: 0.5000 0.0000 0.0000
As: 0.0000 0.0000 0.5000
Sr: 0.0000 0.0000 0.0000



Computed relative energies in units of meV per atom: arrangement 1 0; arrangement 2 407